[1]
# CdInAs2

A relaxed structure of CdInAs2 (PBE-GGA, Alexandria via LeMat-Bulk).

Summary:
Crystal system ... orthorhombic
SG ... Pmmm, No. 47
Raw total energy ... -3.026 eV/atom
ΔE_f ... 0.9 eV/f.u.

```
CdInAs2
1.0
-0.560 -3.796 1.662
5.171 -0.329 0.992
-0.593 1.687 3.652
As In Cd
2 1 1
direct
0.000 0.000 0.000
0.500 0.500 0.000
0.000 0.500 0.500
0.500 0.000 0.500
```

[2]
# KTl3Ge4O12

A relaxed structure of KTl3Ge4O12 (PBE-GGA, Alexandria via LeMat-Bulk).

Summary:
Crystal system ... trigonal
SG ... R32, No. 155
Raw total energy ... -5.409 eV/atom
Formation energy without anion corrections ... -1.101 eV per atom

```
KTl3Ge4O12
1.0
7.342 -0.107 -0.148
-1.873 7.100 -0.148
-1.873 -2.394 6.686
O Tl Ge K
12 3 4 1
direct
0.039 0.639 0.794
0.352 0.648 0.500
0.639 0.794 0.039
0.097 0.903 0.500
0.648 0.500 0.352
0.361 0.961 0.206
0.961 0.206 0.361
0.206 0.361 0.961
0.500 0.352 0.648
0.903 0.500 0.097
0.500 0.097 0.903
0.794 0.039 0.639
0.548 0.452 0.000
0.000 0.548 0.452
0.452 0.000 0.548
0.500 0.500 0.500
0.052 0.500 0.948
0.948 0.052 0.500
0.500 0.948 0.052
0.000 0.000 0.000
```

[3]
# Rb2UNiSe6

A relaxed structure of Rb2UNiSe6 (PBE-GGA, Alexandria via LeMat-Bulk).

Summary:
Crystal system ... cubic
SG ... Fm-3m, No. 225
Raw total energy ... -4.703 eV/atom
Formation energy without anion corrections ... -0.712 eV per atom

```
Rb2UNiSe6
1.0
7.309 0.000 0.000
3.654 6.329 0.000
3.654 2.110 5.967
Se Rb U Ni
6 2 1 1
direct
0.241 0.759 0.759
0.759 0.759 0.241
0.759 0.241 0.759
0.759 0.241 0.241
0.241 0.759 0.241
0.241 0.241 0.759
0.250 0.250 0.250
0.750 0.750 0.750
0.500 0.500 0.500
0.000 0.000 0.000
```

[4]
# Tm5ThSc3

A relaxed structure of Tm5ThSc3 (PBE-GGA, Alexandria via LeMat-Bulk).

Summary:
Crystal system ... monoclinic
SG ... C2/m, No. 12
Raw total energy ... -4.923 eV/atom
ΔE_f ... 4.5 eV/f.u.

```
Tm5ThSc3
1.0
-1.505 7.304 -5.251
-6.689 4.663 4.088
0.221 10.615 3.125
Th Sc Tm
2 6 10
direct
0.161 0.161 0.584
0.839 0.839 0.416
0.000 0.000 0.500
0.654 0.654 0.367
0.696 0.696 0.812
0.346 0.346 0.633
0.000 0.000 0.000
0.304 0.304 0.188
0.505 0.505 0.773
0.351 0.855 0.259
0.649 0.145 0.741
0.145 0.649 0.741
0.182 0.182 0.038
0.742 0.258 0.000
0.258 0.742 0.000
0.855 0.351 0.259
0.495 0.495 0.227
0.818 0.818 0.962
```

[5]
# BaU2CuS5

A relaxed structure of BaU2CuS5 (PBE-GGA, Alexandria via LeMat-Bulk).

Summary:
Crystal system ... tetragonal
SG ... I4/mcm, No. 140
Raw total energy ... -6.881 eV/atom
Formation energy without anion corrections ... -1.411 eV per atom

```
BaU2CuS5
1.0
7.557 0.000 0.000
0.000 7.557 0.000
-3.778 -3.778 6.832
S U Ba Cu
10 4 2 2
direct
0.979 0.479 0.260
0.500 0.500 0.000
0.280 0.780 0.260
0.521 0.720 0.740
0.021 0.521 0.740
0.220 0.021 0.740
0.720 0.220 0.740
0.479 0.280 0.260
0.000 0.000 0.000
0.780 0.979 0.260
0.157 0.343 0.000
0.657 0.157 0.000
0.343 0.843 0.000
0.843 0.657 0.000
0.750 0.750 0.500
0.250 0.250 0.500
0.750 0.250 0.500
0.250 0.750 0.500
```

[6]
# SrZrAs2

A relaxed structure of SrZrAs2 (PBE-GGA, Alexandria via LeMat-Bulk).

Summary:
Relative energy among the computed polymorphs ... 6.6 kJ/mol of atoms
Crystal system ... trigonal
SG ... R3m, No. 160
Raw total energy ... -5.964 eV/atom
ΔE_f ... -4.3 eV/f.u.

```
SrZrAs2
1.0
4.020 0.000 0.000
2.010 3.482 0.000
2.010 1.161 7.283
Zr As Sr
1 2 1
direct
0.669 0.669 0.994
0.071 0.071 0.788
0.263 0.263 0.210
0.497 0.497 0.508
```

[7]
# MgGaFe2C

A relaxed structure of MgGaFe2C (PBE-GGA, Alexandria via LeMat-Bulk).

Summary:
Crystal system ... tetragonal
SG ... P4/mmm, No. 123
Raw total energy ... -6.031 eV/atom
ΔE_f ... 0.6 eV/f.u.

```
MgGaFe2C
1.0
-2.974 -0.561 -2.212
1.329 -3.379 -0.931
-1.999 -1.642 3.104
Mg Ga Fe C
1 1 2 1
direct
0.000 0.000 0.500
0.500 0.500 0.500
0.500 0.000 0.000
0.000 0.500 0.000
0.000 0.000 0.000
```

[8]
# KCaLa2S

A relaxed structure of KCaLa2S (PBE-GGA, Alexandria via LeMat-Bulk).

Summary:
Crystal system ... tetragonal
SG ... P4/mmm, No. 123
Raw total energy ... -3.895 eV/atom
Formation energy without anion corrections ... -0.479 eV per atom

```
KCaLa2S
1.0
-2.312 -2.777 -4.476
4.576 -3.425 -0.238
-2.565 -3.676 3.606
La S Ca K
2 1 1 1
direct
0.000 0.000 0.500
0.500 0.000 0.000
0.000 0.000 0.000
0.000 0.500 0.000
0.500 0.500 0.500
```

[9]
# K2CaOs

A relaxed structure of K2CaOs (PBE-GGA, Alexandria via LeMat-Bulk).

Summary:
Relative energy among the computed polymorphs ... 30.9 kJ/mol of atoms
Crystal system ... orthorhombic
SG ... Imm2, No. 44
Raw total energy ... -2.772 eV/atom
ΔE_f ... 4.3 eV/f.u.

```
K2CaOs
1.0
6.247 -0.019 -0.002
1.537 6.055 0.002
-3.293 -3.791 3.716
K Ca Os
2 1 1
direct
0.016 0.016 0.000
0.715 0.215 0.500
0.310 0.810 0.500
0.459 0.459 0.000
```

[10]
# BaAcSe2

A relaxed structure of BaAcSe2 (PBE-GGA, Alexandria via LeMat-Bulk).

Summary:
Relative energy among the computed polymorphs ... 1.7 kJ/mol of atoms
Crystal system ... hexagonal
SG ... P6_3/mmc, No. 194
Raw total energy ... -5.187 eV/atom
Formation energy without anion corrections ... -1.937 eV per atom

```
BaAcSe2
1.0
-2.682 -3.229 -1.682
4.493 -0.392 -0.333
0.362 -7.332 13.496
Ac Se Ba
2 4 2
direct
0.000 0.000 0.500
0.000 0.000 0.000
0.333 0.667 0.384
0.667 0.333 0.884
0.333 0.667 0.116
0.667 0.333 0.616
0.333 0.667 0.750
0.667 0.333 0.250
```

Result set for calculated density: 6980, 5511, 5663, 6927, 7128, 5353, 6369, 3412, 3641, 6374 kg/m3, one per record in the order listed.